Here is an optimized crystal structure of Ce2DyScSb4 from Alexandria via LeMat-Bulk. Energies are from PBE. Values from VASP.

Geometry as Quantum ESPRESSO input:
```
&SYSTEM
  ibrav = 0, nat = 8, ntyp = 4
/
ATOMIC_SPECIES
Ce 140.12 Ce.upf
Dy 162.50 Dy.upf
Sc 44.96 Sc.upf
Sb 121.76 Sb.upf
ATOMIC_POSITIONS crystal
Ce 0.000 0.000 0.000
Ce 0.000 0.500 0.500
Dy 0.500 0.000 0.500
Sc 0.500 0.500 0.000
Sb 0.261 0.500 0.247
Sb 0.266 0.000 0.762
Sb 0.734 0.000 0.238
Sb 0.739 0.500 0.753
CELL_PARAMETERS angstrom
7.580 0.000 0.000
0.000 4.395 0.000
-2.548 0.000 7.173
```

Computed properties:
ΔE_f (raw)	-1.03	eV/atom
calculated total energy	-5.939	eV per atom

---

Here is an optimized crystal structure of AcCeTh2Bi4 from Alexandria via LeMat-Bulk. Energies are from PBE. Values from VASP.

Geometry as Quantum ESPRESSO input:
```
&SYSTEM
  ibrav = 0, nat = 8, ntyp = 4
/
ATOMIC_SPECIES
Ac 227.00 Ac.upf
Ce 140.12 Ce.upf
Th 232.04 Th.upf
Bi 208.98 Bi.upf
ATOMIC_POSITIONS crystal
Ac 0.000 0.000 0.000
Ce 0.500 0.500 0.000
Th 0.000 0.500 0.500
Th 0.500 0.000 0.500
Bi 0.254 0.000 0.744
Bi 0.260 0.500 0.261
Bi 0.740 0.500 0.739
Bi 0.746 0.000 0.256
CELL_PARAMETERS angstrom
8.077 0.000 0.000
0.000 4.665 0.000
-2.697 0.000 7.652
```

Computed properties:
E_form	-0.73	eV per atom
calculated total energy	-5.780	eV per atom

---

Here is an optimized crystal structure of LiSb2Ru from Alexandria via LeMat-Bulk. Energies are from PBE. Values from VASP.

Geometry as Quantum ESPRESSO input:
```
&SYSTEM
  ibrav = 0, nat = 4, ntyp = 3
/
ATOMIC_SPECIES
Li 6.94 Li.upf
Sb 121.76 Sb.upf
Ru 101.07 Ru.upf
ATOMIC_POSITIONS crystal
Li 0.000 0.000 0.000
Sb 0.500 0.500 0.500
Sb 0.750 0.750 0.750
Ru 0.250 0.250 0.250
CELL_PARAMETERS angstrom
0.000 3.387 3.387
3.387 0.000 3.387
3.387 3.387 0.000
```

Computed properties:
ΔE_f (raw)	0.28	eV/atom
calculated total energy	-4.579	eV per atom
energy relative to the lowest polymorph listed for this composition	1.88	eV per formula unit

---

Here is an optimized crystal structure of CsMnTe2 from Alexandria via LeMat-Bulk. Energies are from PBE. Values from VASP.

Geometry as Quantum ESPRESSO input:
```
&SYSTEM
  ibrav = 0, nat = 8, ntyp = 3
/
ATOMIC_SPECIES
Cs 132.91 Cs.upf
Mn 54.94 Mn.upf
Te 127.60 Te.upf
ATOMIC_POSITIONS crystal
Cs 0.000 0.000 0.000
Cs 0.750 0.250 0.500
Mn 0.250 0.750 0.500
Mn 0.500 0.500 0.000
Te 0.243 0.125 0.618
Te 0.375 0.757 0.882
Te 0.507 0.625 0.382
Te 0.875 0.493 0.118
CELL_PARAMETERS angstrom
-4.221 4.221 4.508
4.221 -4.221 4.508
4.221 4.221 -4.508
```

Computed properties:
ΔE_f (raw)	-0.51	eV/atom
calculated total energy	-4.583	eV per atom

---

Total magnetic moment / μB per atom: 0.1916 0.1477 0.0000 1.0000